# 1
VASP calculation (PBE-GGA) on Na5Tl2Hg2Au after structural relaxation.

Output
Space group: No. 127
Formation energy (meV per atom): -174

```
Na5Tl2Hg2Au
1.0
12.426 0.000 0.000
0.000 12.426 0.000
0.000 0.000 3.584
Na Tl Hg Au
10 4 4 2
Direct
0.000 0.500 0.000 Na
0.017 0.193 0.000 Na
0.193 0.983 0.000 Na
0.307 0.483 0.000 Na
0.483 0.693 0.000 Na
0.500 0.000 0.000 Na
0.517 0.307 0.000 Na
0.693 0.517 0.000 Na
0.807 0.017 0.000 Na
0.983 0.807 0.000 Na
0.175 0.675 0.500 Tl
0.325 0.175 0.500 Tl
0.675 0.825 0.500 Tl
0.825 0.325 0.500 Tl
0.151 0.349 0.500 Hg
0.349 0.849 0.500 Hg
0.651 0.151 0.500 Hg
0.849 0.651 0.500 Hg
0.000 0.000 0.500 Au
0.500 0.500 0.500 Au
```

***

# 2
VASP calculation (PBE-GGA) on NaTlHg2Au after structural relaxation.

Output
Space group: No. 123
Distance to the lowest polymorph of the same formula (eV/f.u.): 0.173
Formation energy (meV per atom): 22

```
NaTlHg2Au
1.0
5.421 0.000 0.000
0.000 5.421 0.000
0.000 0.000 5.633
Na Tl Hg Au
1 1 2 1
Direct
0.000 0.000 0.000 Na
0.500 0.500 0.000 Tl
0.000 0.500 0.500 Hg
0.500 0.000 0.500 Hg
0.500 0.500 0.500 Au
```

***

# 3
VASP calculation (PBE-GGA) on NaTlHg2Au after structural relaxation.

Output
Space group: No. 123
Distance to the lowest polymorph of the same formula (eV/f.u.): 0.000
Formation energy (meV per atom): -12

```
NaTlHg2Au
1.0
5.386 0.000 0.000
0.000 5.386 0.000
0.000 0.000 5.448
Na Tl Hg Au
1 1 2 1
Direct
0.000 0.000 0.000 Na
0.500 0.500 0.000 Tl
0.000 0.500 0.500 Hg
0.500 0.000 0.500 Hg
0.000 0.000 0.500 Au
```

***

# 4
VASP calculation (PBE-GGA) on NaTl2HgAu after structural relaxation.

Output
Space group: No. 123
Formation energy (meV per atom): 7

```
NaTl2HgAu
1.0
5.564 0.000 0.000
0.000 5.564 0.000
0.000 0.000 5.563
Na Tl Hg Au
1 2 1 1
Direct
0.000 0.000 0.000 Na
0.000 0.500 0.500 Tl
0.500 0.000 0.500 Tl
0.500 0.500 0.000 Hg
0.000 0.000 0.500 Au
```

***

# 5
VASP calculation (PBE-GGA) on Na2HgWAu after structural relaxation.

Output
Space group: No. 123
Formation energy (meV per atom): 1176

```
Na2HgWAu
1.0
5.970 0.000 0.000
0.000 5.970 0.000
0.000 0.000 4.968
Na Hg W Au
2 1 1 1
Direct
0.000 0.500 0.000 Na
0.500 0.000 0.000 Na
0.000 0.000 0.500 Hg
0.500 0.500 0.000 W
0.500 0.500 0.500 Au
```

***

# 6
VASP calculation (PBE-GGA) on NaYHgAu after structural relaxation.

Output
Space group: No. 216
Formation energy (meV per atom): -449

```
NaYHgAu
1.0
7.193 0.000 0.000
0.000 7.193 0.000
0.000 0.000 7.193
Na Y Hg Au
4 4 4 4
Direct
0.000 0.000 0.000 Na
0.000 0.500 0.500 Na
0.500 0.000 0.500 Na
0.500 0.500 0.000 Na
0.000 0.000 0.500 Y
0.000 0.500 0.000 Y
0.500 0.000 0.000 Y
0.500 0.500 0.500 Y
0.250 0.250 0.250 Hg
0.250 0.750 0.750 Hg
0.750 0.250 0.750 Hg
0.750 0.750 0.250 Hg
0.250 0.250 0.750 Au
0.250 0.750 0.250 Au
0.750 0.250 0.250 Au
0.750 0.750 0.750 Au
```

***

# 7
VASP calculation (PBE-GGA) on NaYHgAu2 after structural relaxation.

Output
Space group: No. 123
Formation energy (meV per atom): 295

```
NaYHgAu2
1.0
5.343 0.000 0.000
0.000 5.343 0.000
0.000 0.000 5.475
Na Y Hg Au
1 1 1 2
Direct
0.000 0.000 0.000 Na
0.500 0.500 0.000 Y
0.500 0.500 0.500 Hg
0.000 0.500 0.500 Au
0.500 0.000 0.500 Au
```

***

# 8
VASP calculation (PBE-GGA) on Na2Zn2HgAu5 after structural relaxation.

Output
Space group: No. 127
Formation energy (meV per atom): -213

```
Na2Zn2HgAu5
1.0
10.148 0.000 0.000
0.000 10.148 0.000
0.000 0.000 3.837
Na Zn Hg Au
4 4 2 10
Direct
0.175 0.325 0.000 Na
0.325 0.825 0.000 Na
0.675 0.175 0.000 Na
0.825 0.675 0.000 Na
0.124 0.624 0.000 Zn
0.376 0.124 0.000 Zn
0.624 0.876 0.000 Zn
0.876 0.376 0.000 Zn
0.000 0.000 0.000 Hg
0.500 0.500 0.000 Hg
0.000 0.500 0.500 Au
0.069 0.795 0.500 Au
0.205 0.069 0.500 Au
0.295 0.569 0.500 Au
0.431 0.295 0.500 Au
0.500 0.000 0.500 Au
0.569 0.705 0.500 Au
0.705 0.431 0.500 Au
0.795 0.931 0.500 Au
0.931 0.205 0.500 Au
```

***

# 9
VASP calculation (PBE-GGA) on Na2ZnHgAu after structural relaxation.

Output
Space group: No. 123
Formation energy (meV per atom): -62

```
Na2ZnHgAu
1.0
5.541 0.000 0.000
0.000 5.541 0.000
0.000 0.000 4.990
Na Zn Hg Au
2 1 1 1
Direct
0.000 0.500 0.000 Na
0.500 0.000 0.000 Na
0.000 0.000 0.500 Zn
0.500 0.500 0.500 Hg
0.000 0.000 0.000 Au
```

***

# 10
VASP calculation (PBE-GGA) on NaZnHgAu after structural relaxation.

Output
Space group: No. 216
Formation energy (meV per atom): -107

```
NaZnHgAu
1.0
6.811 0.000 0.000
0.000 6.811 0.000
0.000 0.000 6.811
Na Zn Hg Au
4 4 4 4
Direct
0.000 0.000 0.000 Na
0.000 0.500 0.500 Na
0.500 0.000 0.500 Na
0.500 0.500 0.000 Na
0.250 0.250 0.250 Zn
0.250 0.750 0.750 Zn
0.750 0.250 0.750 Zn
0.750 0.750 0.250 Zn
0.250 0.250 0.750 Hg
0.250 0.750 0.250 Hg
0.750 0.250 0.250 Hg
0.750 0.750 0.750 Hg
0.000 0.000 0.500 Au
0.000 0.500 0.000 Au
0.500 0.000 0.000 Au
0.500 0.500 0.500 Au
```

***

# 11
VASP calculation (PBE-GGA) on Na2Zn3HgAu12 after structural relaxation.

Output
Space group: No. 166
Formation energy (meV per atom): -51

```
Na2Zn3HgAu12
1.0
4.746 2.740 4.510
-4.746 2.740 4.510
0.000 -5.480 4.510
Na Zn Hg Au
2 3 1 12
Direct
0.117 0.117 0.117 Na
0.883 0.883 0.883 Na
0.000 0.500 0.500 Zn
0.500 0.000 0.500 Zn
0.500 0.500 0.000 Zn
0.500 0.500 0.500 Hg
0.121 0.121 0.561 Au
0.121 0.561 0.121 Au
0.192 0.698 0.698 Au
0.302 0.302 0.808 Au
0.302 0.808 0.302 Au
0.439 0.879 0.879 Au
0.561 0.121 0.121 Au
0.698 0.192 0.698 Au
0.698 0.698 0.192 Au
0.808 0.302 0.302 Au
0.879 0.439 0.879 Au
0.879 0.879 0.439 Au
```

***

# 12
VASP calculation (PBE-GGA) on NaZrHgAu after structural relaxation.

Output
Space group: No. 216
Formation energy (meV per atom): -174

```
NaZrHgAu
1.0
6.932 0.000 0.000
0.000 6.932 0.000
0.000 0.000 6.932
Na Zr Hg Au
4 4 4 4
Direct
0.000 0.000 0.000 Na
0.000 0.500 0.500 Na
0.500 0.000 0.500 Na
0.500 0.500 0.000 Na
0.000 0.000 0.500 Zr
0.000 0.500 0.000 Zr
0.500 0.000 0.000 Zr
0.500 0.500 0.500 Zr
0.250 0.250 0.750 Hg
0.250 0.750 0.250 Hg
0.750 0.250 0.250 Hg
0.750 0.750 0.750 Hg
0.250 0.250 0.250 Au
0.250 0.750 0.750 Au
0.750 0.250 0.750 Au
0.750 0.750 0.250 Au
```

***

Which formula does entry 10 have? NaZnHgAu